VASP calculation (GGA-PBE) on a relaxed structure of MgI2NCl.

The uncorrected formation energy comes out at 61.46 kJ per mole of atoms. The excess energy over the best structure of this formula in the dataset is 0.000 eV/atom.

It has space group P4/mmm (No. 123), with a = 5.787 Å, b = 5.787 Å, c = 3.983 Å, α = 90.00°, β = 90.00° and γ = 90.00°. The distinct sites, in fractional coordinates, are Mg at (0.000, 0.000, 0.000), I at (0.000, 0.500, 0.000), N at (0.000, 0.000, 0.500) and Cl at (0.500, 0.500, 0.500).

---

VASP calculation (GGA-PBE) on a relaxed structure of ZnGaAgRu.

Its formation energy is -0.088 eV per formula unit.

It has space group F-43m (No. 216), with a = 6.202 Å, b = 6.202 Å, c = 6.202 Å, α = 90.00°, β = 90.00° and γ = 90.00°. The distinct sites, in fractional coordinates, are Zn at (0.000, 0.000, 0.000), Ga at (0.000, 0.000, 0.500), Ag at (0.250, 0.250, 0.250) and Ru at (0.250, 0.250, 0.750).

---

VASP calculation (GGA-PBE) on a relaxed structure of Sm3CuGe2.

Its formation energy is -4.097 eV per formula unit.

It has space group Pnma (No. 62), with a = 11.666 Å, b = 4.284 Å, c = 11.696 Å, α = 90.00°, β = 90.00° and γ = 90.00°. The distinct sites, in fractional coordinates, are Sm at (0.058, 0.250, 0.125), Sm at (0.123, 0.750, 0.562), Sm at (0.210, 0.250, 0.805), Cu at (0.131, 0.250, 0.367), Ge at (0.022, 0.750, 0.316) and Ge at (0.190, 0.750, 0.995).

---

VASP calculation (GGA-PBE) on a relaxed structure of CaAc2Tl3.

Its formation energy is -1.473 eV per formula unit. The excess energy over the best structure of this formula in the dataset is 0.148 eV/atom.

It has space group Cmcm (No. 63), with a = 3.964 Å, b = 29.719 Å, c = 7.423 Å, α = 90.00°, β = 90.00° and γ = 90.00°. The distinct sites, in fractional coordinates, are Ca at (0.000, 0.157, 0.250), Ac at (0.000, 0.341, 0.250), Ac at (0.000, 0.488, 0.750), Tl at (0.000, 0.077, 0.538) and Tl at (0.000, 0.256, 0.750).

---

Number 1: spin magnetization 0.02 μB per formula unit. Number 2: spin magnetization 0.00 μB per formula unit. Number 3: spin magnetization 0.64 μB per formula unit. Number 4: spin magnetization 0.00 μB per formula unit.